Material: BeV3Ge
Method: DFT, GGA-PBE
State: optimized geometry

Calculated values
* energy relative to the lowest polymorph listed for this composition: 0.0 meV/atom
* calculated formation energy: 0.109 eV per atom

CIF file:
```
data_BeV3Ge
_symmetry_space_group_name_H-M 'P 63/m m c'
_symmetry_Int_Tables_number 194
_symmetry_space_group_name_Hall '-P 6c 2c'
_cell_length_a 5.6291
_cell_length_b 5.6291
_cell_length_c 4.7330
_cell_angle_alpha 90.00
_cell_angle_beta 90.00
_cell_angle_gamma 120.00
loop_
_atom_site_label
_atom_site_fract_x
_atom_site_fract_y
_atom_site_fract_z
_atom_site_occupancy
Be1 0.0000 0.0000 0.0000 1
V1 0.1883 0.3766 0.2500 1
Ge1 0.3333 0.6667 0.7500 1
```

Material: BeV2Ge
Method: DFT, GGA-PBE
State: optimized geometry

Calculated values
* energy relative to the lowest polymorph listed for this composition: 0.0 meV/atom
* calculated formation energy: -0.243 eV per atom

CIF file:
```
data_BeV2Ge
_symmetry_space_group_name_H-M 'P 1 21/m 1'
_symmetry_Int_Tables_number 11
_cell_length_a 4.8433
_cell_length_b 3.4418
_cell_length_c 6.3722
_cell_angle_alpha 90.00
_cell_angle_beta 109.43
_cell_angle_gamma 90.00
loop_
_symmetry_equiv_pos_as_xyz
'x,y,z'
'-x,-y,-z'
'-x,y+1/2,-z'
'x,-y+1/2,z'
loop_
_atom_site_label
_atom_site_fract_x
_atom_site_fract_y
_atom_site_fract_z
_atom_site_occupancy
Be1 0.1581 0.2500 0.2901 1
V1 0.3076 0.7500 0.0849 1
V2 0.3289 0.7500 0.5729 1
Ge1 0.1443 0.2500 0.7817 1
```

Material: BeV2Ge4
Method: DFT, GGA-PBE
State: optimized geometry

Calculated values
* calculated formation energy: 0.549 eV per atom

CIF file:
```
data_BeV2Ge4
_symmetry_space_group_name_H-M 'I 4/m m m'
_symmetry_Int_Tables_number 139
_symmetry_space_group_name_Hall '-I 4 2'
_cell_length_a 4.6271
_cell_length_b 4.6271
_cell_length_c 11.8560
_cell_angle_alpha 90.00
_cell_angle_beta 90.00
_cell_angle_gamma 90.00
loop_
_atom_site_label
_atom_site_fract_x
_atom_site_fract_y
_atom_site_fract_z
_atom_site_occupancy
Be1 0.0000 0.0000 0.0000 1
V1 0.0000 0.0000 0.4017 1
Ge1 0.0000 0.0000 0.1864 1
Ge2 0.0000 0.5000 0.0000 1
```

Material: BeV3Ge
Method: DFT, GGA-PBE
State: optimized geometry

Calculated values
* energy relative to the lowest polymorph listed for this composition: 295.6 meV/atom
* calculated formation energy: 0.404 eV per atom

CIF file:
```
data_BeV3Ge
_symmetry_space_group_name_H-M 'P m -3 m'
_symmetry_Int_Tables_number 221
_symmetry_space_group_name_Hall '-P 4 2 3'
_cell_length_a 4.0894
_cell_length_b 4.0894
_cell_length_c 4.0894
_cell_angle_alpha 90.00
_cell_angle_beta 90.00
_cell_angle_gamma 90.00
loop_
_atom_site_label
_atom_site_fract_x
_atom_site_fract_y
_atom_site_fract_z
_atom_site_occupancy
Be1 0.0000 0.0000 0.0000 1
V1 0.0000 0.0000 0.5000 1
Ge1 0.5000 0.5000 0.5000 1
```

Material: BeV2Ge
Method: DFT, GGA-PBE
State: optimized geometry

Calculated values
* energy relative to the lowest polymorph listed for this composition: 440.4 meV/atom
* calculated formation energy: 0.198 eV per atom

CIF file:
```
data_BeV2Ge
_symmetry_space_group_name_H-M 'I -4 2 d'
_symmetry_Int_Tables_number 122
_symmetry_space_group_name_Hall 'I -4 2bw'
_cell_length_a 6.4927
_cell_length_b 6.4927
_cell_length_c 5.0186
_cell_angle_alpha 90.00
_cell_angle_beta 90.00
_cell_angle_gamma 90.00
loop_
_atom_site_label
_atom_site_fract_x
_atom_site_fract_y
_atom_site_fract_z
_atom_site_occupancy
Be1 0.0000 0.0000 0.0000 1
V1 0.2374 0.2500 0.1250 1
Ge1 0.0000 0.0000 0.5000 1
```

Material: BeV12Ge6
Method: DFT, GGA-PBE
State: optimized geometry

Calculated values
* calculated formation energy: 0.162 eV per atom

CIF file:
```
data_BeV12Ge6
_symmetry_space_group_name_H-M 'R -3'
_symmetry_Int_Tables_number 148
_symmetry_space_group_name_Hall '-R 3'
_cell_length_a 10.2591
_cell_length_b 10.2591
_cell_length_c 9.3388
_cell_angle_alpha 90.00
_cell_angle_beta 90.00
_cell_angle_gamma 120.00
loop_
_atom_site_label
_atom_site_fract_x
_atom_site_fract_y
_atom_site_fract_z
_atom_site_occupancy
Be1 0.0000 0.0000 0.0000 1
V1 0.0358 0.1650 0.3741 1
V2 0.0814 0.1887 0.8548 1
Ge1 0.0234 0.4065 0.2886 1
```